DFT (PBE-GGA) results for Sr2Be2TlO6 after structural relaxation.

```
Sr2Be2TlO6
1.0
2.7550 1.5906 5.7366
-2.7550 1.5906 5.7366
0.0000 -3.1812 5.7366
Sr Be Tl O
2 2 1 6
Cartesian
0.0000 0.0000 3.5944
0.0000 0.0000 13.6153
0.0000 0.0000 7.2183
0.0000 0.0000 9.9913
0.0000 0.0000 0.0000
-1.3314 -0.7687 9.9249
0.0000 -1.5374 7.2848
-1.3314 0.7687 7.2848
1.3314 -0.7687 9.9249
0.0000 1.5374 9.9249
1.3314 0.7687 7.2848
```

Properties
- ρ (g cm⁻³) = 5.4
- space group = R-3m, No. 166
- E_tot (eV/atom) = -5.9184